1.
# InCu2Sb2 PBE-GGA relaxed
data_InCu2Sb2
_cell_length_a 8.408
_cell_length_b 8.408
_cell_length_c 3.035
_cell_angle_alpha 90.00
_cell_angle_beta 90.00
_cell_angle_gamma 90.00
_space_group_name_H-M_alt 'P 4/m b m'
_space_group_IT_number 127
_space_group_name_Hall '-P 4 2ab'
loop_
_atom_site_label
_atom_site_type_symbol
_atom_site_fract_x
_atom_site_fract_y
_atom_site_fract_z
_atom_site_occupancy
In1 In 0.000 0.000 0.000 1
Cu1 Cu 0.135 0.365 0.500 1
Sb1 Sb 0.156 0.656 0.000 1
# Magnetic moment   0.00 μB per cell
# Excess energy over the best structure of this formula in the dataset   0.0885 eV per atom
# N(E_F)   1.896 states/eV/f.u.
# Raw formation energy   0.215 eV per atom

---

2.
# DyTmMn PBE-GGA relaxed
data_DyTmMn
_cell_length_a 5.929
_cell_length_b 3.409
_cell_length_c 15.188
_cell_angle_alpha 90.00
_cell_angle_beta 97.51
_cell_angle_gamma 90.00
_space_group_name_H-M_alt 'C 1 2/m 1'
_space_group_IT_number 12
_space_group_name_Hall '-C 2y'
loop_
_atom_site_label
_atom_site_type_symbol
_atom_site_fract_x
_atom_site_fract_y
_atom_site_fract_z
_atom_site_occupancy
Dy1 Dy 0.200 0.000 0.103 1
Tm1 Tm 0.201 0.500 0.600 1
Mn1 Mn 0.082 0.500 0.254 1
# Magnetic moment   11.71 μB per cell
# Calculated formation energy   0.283 eV per atom
# Excess energy over the best structure of this formula in the dataset   0.1511 eV per atom
# N(E_F)   3.828 states/eV/f.u.

---

3.
# DyHoAu PBE-GGA relaxed
data_DyHoAu
_cell_length_a 4.9855
_cell_length_b 4.9855
_cell_length_c 22.4456
_cell_angle_alpha 90.00
_cell_angle_beta 90.00
_cell_angle_gamma 120.00
_space_group_name_H-M_alt 'R 3 m'
_space_group_IT_number 160
_space_group_name_Hall 'R 3 -2"'
loop_
_atom_site_label
_atom_site_type_symbol
_atom_site_fract_x
_atom_site_fract_y
_atom_site_fract_z
_atom_site_occupancy
Dy1 Dy 0.0000 0.0000 0.0000 1
Dy2 Dy 0.0000 0.0000 0.1627 1
Ho1 Ho 0.0000 0.0000 0.4202 1
Ho2 Ho 0.0000 0.0000 0.5829 1
Au1 Au 0.0000 0.0000 0.7165 1
Au2 Au 0.0000 0.0000 0.8669 1
# Magnetic moment   0.00 μB per cell
# Calculated formation energy   -0.470 eV per atom
# Excess energy over the best structure of this formula in the dataset   0.1725 eV per atom
# N(E_F)   2.781 states/eV/f.u.

---

4.
# PuBi2Pd PBE-GGA relaxed
data_PuBi2Pd
_cell_length_a 3.4714
_cell_length_b 3.4714
_cell_length_c 31.9646
_cell_angle_alpha 90.00
_cell_angle_beta 90.00
_cell_angle_gamma 120.00
_space_group_name_H-M_alt 'R -3 m'
_space_group_IT_number 166
_space_group_name_Hall '-R 3 2"'
loop_
_atom_site_label
_atom_site_type_symbol
_atom_site_fract_x
_atom_site_fract_y
_atom_site_fract_z
_atom_site_occupancy
Pu1 Pu 0.0000 0.0000 0.0000 1
Bi1 Bi 0.0000 0.0000 0.1020 1
Pd1 Pd 0.0000 0.0000 0.5000 1
# Magnetic moment   18.97 μB per cell
# Calculated formation energy   0.029 eV per atom
# N(E_F)   9.927 states/eV/f.u.

---

5.
# Tc3RuW PBE-GGA relaxed
data_Tc3RuW
_cell_length_a 4.631
_cell_length_b 4.631
_cell_length_c 4.631
_cell_angle_alpha 90.00
_cell_angle_beta 90.00
_cell_angle_gamma 90.00
_space_group_name_H-M_alt 'P m -3 m'
_space_group_IT_number 221
_space_group_name_Hall '-P 4 2 3'
loop_
_atom_site_label
_atom_site_type_symbol
_atom_site_fract_x
_atom_site_fract_y
_atom_site_fract_z
_atom_site_occupancy
Tc1 Tc 0.000 0.000 0.500 1
Ru1 Ru 0.500 0.500 0.500 1
W1 W 0.000 0.000 0.000 1
# Magnetic moment   1.38 μB per cell
# Calculated formation energy   2.036 eV per atom
# Excess energy over the best structure of this formula in the dataset   0.0200 eV per atom
# N(E_F)   7.342 states/eV/f.u.

---

6.
# GaCu8Au4 PBE-GGA relaxed
data_GaCu8Au4
_cell_length_a 3.699
_cell_length_b 3.723
_cell_length_c 13.916
_cell_angle_alpha 90.00
_cell_angle_beta 90.00
_cell_angle_gamma 90.00
_space_group_name_H-M_alt 'P m m 2'
_space_group_IT_number 25
_space_group_name_Hall 'P 2 -2'
loop_
_atom_site_label
_atom_site_type_symbol
_atom_site_fract_x
_atom_site_fract_y
_atom_site_fract_z
_atom_site_occupancy
Ga1 Ga 0.000 0.000 0.000 1
Cu1 Cu 0.000 0.000 0.169 1
Cu2 Cu 0.000 0.000 0.438 1
Cu3 Cu 0.000 0.500 0.578 1
Cu4 Cu 0.000 0.500 0.875 1
Cu5 Cu 0.500 0.000 0.303 1
Cu6 Cu 0.500 0.000 0.873 1
Cu7 Cu 0.500 0.500 0.439 1
Cu8 Cu 0.500 0.500 0.732 1
Au1 Au 0.000 0.000 0.734 1
Au2 Au 0.000 0.500 0.298 1
Au3 Au 0.500 0.000 0.578 1
Au4 Au 0.500 0.500 0.104 1
# Magnetic moment   0.00 μB per cell
# Calculated formation energy   0.013 eV per atom
# N(E_F)   3.435 states/eV/f.u.

---

7.
# PrCuAsP PBE-GGA relaxed
data_PrCuAsP
_cell_length_a 10.537
_cell_length_b 4.010
_cell_length_c 4.172
_cell_angle_alpha 90.00
_cell_angle_beta 113.30
_cell_angle_gamma 90.00
_space_group_name_H-M_alt 'C 1 m 1'
_space_group_IT_number 8
_space_group_name_Hall 'C -2y'
loop_
_atom_site_label
_atom_site_type_symbol
_atom_site_fract_x
_atom_site_fract_y
_atom_site_fract_z
_atom_site_occupancy
Pr1 Pr 0.000 0.000 0.000 1
Cu1 Cu 0.261 0.500 0.262 1
As1 As 0.132 0.500 0.632 1
P1 P 0.384 0.000 0.383 1
# Magnetic moment   0.00 μB per cell
# Calculated formation energy   -0.749 eV per atom
# N(E_F)   1.011 states/eV/f.u.

---

8.
# Ta3NbRu PBE-GGA relaxed
data_Ta3NbRu
_cell_length_a 4.774
_cell_length_b 4.774
_cell_length_c 4.774
_cell_angle_alpha 90.00
_cell_angle_beta 90.00
_cell_angle_gamma 90.00
_space_group_name_H-M_alt 'P m -3 m'
_space_group_IT_number 221
_space_group_name_Hall '-P 4 2 3'
loop_
_atom_site_label
_atom_site_type_symbol
_atom_site_fract_x
_atom_site_fract_y
_atom_site_fract_z
_atom_site_occupancy
Ta1 Ta 0.000 0.000 0.500 1
Nb1 Nb 0.000 0.000 0.000 1
Ru1 Ru 0.500 0.500 0.500 1
# Magnetic moment   0.00 μB per cell
# Calculated formation energy   1.927 eV per atom
# Excess energy over the best structure of this formula in the dataset   2.1266 eV per atom
# N(E_F)   8.700 states/eV/f.u.

---

9.
# Ca6In3F PBE-GGA relaxed
data_Ca6In3F
_cell_length_a 11.096
_cell_length_b 14.288
_cell_length_c 8.264
_cell_angle_alpha 90.00
_cell_angle_beta 90.00
_cell_angle_gamma 90.00
_space_group_name_H-M_alt 'C m c 21'
_space_group_IT_number 36
_space_group_name_Hall 'C 2c -2'
loop_
_atom_site_label
_atom_site_type_symbol
_atom_site_fract_x
_atom_site_fract_y
_atom_site_fract_z
_atom_site_occupancy
Ca1 Ca 0.000 0.040 0.000 1
Ca2 Ca 0.000 0.226 0.614 1
Ca3 Ca 0.167 0.487 0.577 1
Ca4 Ca 0.169 0.257 0.014 1
In1 In 0.000 0.359 0.305 1
In2 In 0.146 0.120 0.318 1
F1 F 0.000 0.192 0.886 1
# Magnetic moment   0.00 μB per cell
# N(E_F)   7.597 states/eV/f.u.
# Raw formation energy   -0.772 eV per atom

---

10.
# KFe2As PBE-GGA relaxed
data_KFe2As
_cell_length_a 3.133
_cell_length_b 3.133
_cell_length_c 7.803
_cell_angle_alpha 90.00
_cell_angle_beta 90.00
_cell_angle_gamma 90.00
_space_group_name_H-M_alt 'P 4 m m'
_space_group_IT_number 99
_space_group_name_Hall 'P 4 -2'
loop_
_atom_site_label
_atom_site_type_symbol
_atom_site_fract_x
_atom_site_fract_y
_atom_site_fract_z
_atom_site_occupancy
K1 K 0.000 0.000 0.000 1
Fe1 Fe 0.000 0.000 0.490 1
Fe2 Fe 0.500 0.500 0.641 1
As1 As 0.500 0.500 0.324 1
# Magnetic moment   4.99 μB per cell
# Calculated formation energy   0.261 eV per atom
# N(E_F)   3.701 states/eV/f.u.

---

11.
# Eu2MgAl PBE-GGA relaxed
data_Eu2MgAl
_cell_length_a 3.849
_cell_length_b 3.849
_cell_length_c 7.997
_cell_angle_alpha 90.00
_cell_angle_beta 90.00
_cell_angle_gamma 90.00
_space_group_name_H-M_alt 'P 4/m m m'
_space_group_IT_number 123
_space_group_name_Hall '-P 4 2'
loop_
_atom_site_label
_atom_site_type_symbol
_atom_site_fract_x
_atom_site_fract_y
_atom_site_fract_z
_atom_site_occupancy
Eu1 Eu 0.000 0.000 0.228 1
Mg1 Mg 0.500 0.500 0.500 1
Al1 Al 0.500 0.500 0.000 1
# Magnetic moment   14.18 μB per cell
# Calculated formation energy   -0.161 eV per atom
# N(E_F)   11.624 states/eV/f.u.

---

12.
# LiAl2As2 PBE-GGA relaxed
data_LiAl2As2
_cell_length_a 7.182
_cell_length_b 7.182
_cell_length_c 3.490
_cell_angle_alpha 90.00
_cell_angle_beta 90.00
_cell_angle_gamma 90.00
_space_group_name_H-M_alt 'P 4/m b m'
_space_group_IT_number 127
_space_group_name_Hall '-P 4 2ab'
loop_
_atom_site_label
_atom_site_type_symbol
_atom_site_fract_x
_atom_site_fract_y
_atom_site_fract_z
_atom_site_occupancy
Li1 Li 0.000 0.000 0.000 1
Al1 Al 0.137 0.363 0.500 1
As1 As 0.165 0.665 0.000 1
# Magnetic moment   0.00 μB per cell
# Calculated formation energy   -0.191 eV per atom
# Excess energy over the best structure of this formula in the dataset   0.0225 eV per atom
# N(E_F)   1.291 states/eV/f.u.